{
  "formula": "RhPbC3",
  "functional": "PBE",
  "state": "optimized geometry",
  "cell": [[-3.929, 0.172, 1.170], [-0.880, -3.137, -2.495], [0.790, -2.640, 3.041]],
  "species": ["C", "Rh", "C", "Pb", "C"],
  "fractional_positions": [[0.500, 0.000, 0.000], [0.000, 0.000, 0.000], [0.000, 0.000, 0.500], [0.500, 0.500, 0.500], [0.000, 0.500, 0.000]],
  "polymorph_energy_mev_per_atom": 0,
  "formation_enthalpy_0k_ev_per_atom": 2.13
}

---

{
  "formula": "RhPbC3",
  "functional": "PBE",
  "state": "optimized geometry",
  "cell": [[-3.436, 1.567, 2.177], [-2.057, -3.811, -0.503], [1.722, -1.424, 3.743]],
  "species": ["C", "Pb", "C", "C", "Rh"],
  "fractional_positions": [[0.000, 0.000, 0.500], [0.000, 0.000, 0.000], [0.500, 0.000, 0.000], [0.000, 0.500, 0.000], [0.500, 0.500, 0.500]],
  "polymorph_energy_mev_per_atom": 1524,
  "formation_enthalpy_0k_ev_per_atom": 3.65
}

---

Computed values of DOS at the Fermi energy (unit: states/eV/cell) for the preceding records, in sequence: 4.0 5.1.